*A*
Material: IrRu2
Method: DFT, PBE
State: relaxed

Cell lengths 12.1233, 12.1233, 12.1233 Å; angles 167.15, 167.15, 18.21 degrees
Last column: nearest neighbours and their distance in Å.
Fractional positions:
Ir1 0.3750 0.6250 0.7500  8 Ru 2.70, 4 Ir 2.71
Ir2 0.6250 0.3750 0.2500  8 Ru 2.70, 4 Ir 2.71
Ru1 0.0454 0.7954 0.2500  6 Ru 2.56-2.71, 4 Ir 2.70
Ru2 0.2046 0.9546 0.2500  6 Ru 2.56-2.71, 4 Ir 2.70
Ru3 0.7954 0.0454 0.7500  6 Ru 2.56-2.71, 4 Ir 2.70
Ru4 0.9546 0.2046 0.7500  6 Ru 2.56-2.71, 4 Ir 2.70

*B*
Material: IrRu2
Method: DFT, PBE
State: relaxed

Cell lengths 5.0115, 5.0115, 8.2340 Å; angles 90.00, 90.00, 120.00 degrees
Last column: nearest neighbours and their distance in Å.
Fractional positions:
Ir1 0.3333 0.6667 0.0874  1 Ir 2.68, 9 Ru 2.84-2.98
Ir2 0.3333 0.6667 0.4126  1 Ir 2.68, 9 Ru 2.84-2.98
Ir3 0.6667 0.3333 0.5874  1 Ir 2.68, 9 Ru 2.84-2.98
Ir4 0.6667 0.3333 0.9126  1 Ir 2.68, 9 Ru 2.84-2.98
Ru1 0.0000 0.0000 0.0000  6 Ru 2.54
Ru2 0.0000 0.0000 0.5000  6 Ru 2.54
Ru3 0.1715 0.3431 0.7500  6 Ru 2.43-2.58
Ru4 0.1715 0.8285 0.7500  6 Ru 2.43-2.58
Ru5 0.3431 0.1715 0.2500  6 Ru 2.43-2.58
Ru6 0.6569 0.8285 0.7500  6 Ru 2.43-2.58
Ru7 0.8285 0.1715 0.2500  6 Ru 2.43-2.58
Ru8 0.8285 0.6569 0.2500  6 Ru 2.43-2.58

So which one wins? Going from most stable to least: *A*, *B*.

*A*
Material: KLiLa2
Method: DFT, PBE
State: relaxed

Cell lengths 13.0317, 13.0317, 13.0317 Å; angles 16.31, 16.31, 16.31 degrees
Last column: nearest neighbours and their distance in Å.
Fractional positions:
K1 0.0000 0.0000 0.0000  6 K 3.70
Li1 0.5000 0.5000 0.5000  6 La 3.42, 6 Li 3.70
La1 0.2360 0.2360 0.2360  3 Li 3.42, 6 La 3.70
La2 0.7640 0.7640 0.7640  3 Li 3.42, 6 La 3.70

*B*
Material: KLiLa2
Method: DFT, PBE
State: relaxed

Cell lengths 6.0180, 6.0180, 7.8555 Å; angles 96.20, 96.20, 33.86 degrees
Last column: nearest neighbours and their distance in Å.
Fractional positions:
K1 0.0000 0.0000 0.0000  2 K 3.50, 3 Li 3.77-3.84
Li1 0.7523 0.7523 0.2748  5 La 3.47-3.60, 2 Li 3.50, 3 K 3.77-3.84
La1 0.2287 0.2287 0.6506  5 La 3.29-3.50, 2 Li 3.47
La2 0.4991 0.4991 0.4929  5 La 3.29-3.50, 3 Li 3.54-3.60

So which one wins? Going from most stable to least: *A*, *B*.

*A*
Material: TbSmErMg
Method: DFT, PBE
State: relaxed

Cell lengths 3.6144, 3.6144, 9.1616 Å; angles 90.00, 90.00, 90.00 degrees
Last column: nearest neighbours and their distance in Å.
Fractional positions:
Tb1 0.0000 0.0000 0.0000  4 Mg 3.33, 4 Sm 3.57, 4 Tb 3.61
Sm1 0.5000 0.5000 0.2717  4 Er 3.55, 4 Tb 3.57, 4 Sm 3.61
Er1 0.0000 0.0000 0.5400  4 Mg 3.29, 4 Sm 3.55, 4 Er 3.61
Mg1 0.5000 0.5000 0.7669  4 Er 3.29, 4 Tb 3.33, 4 Mg 3.61

*B*
Material: TbSmErMg
Method: DFT, PBE
State: relaxed

Cell lengths 5.5210, 5.5210, 5.5210 Å; angles 60.00, 60.00, 60.00 degrees
Last column: nearest neighbours and their distance in Å.
Fractional positions:
Tb1 0.0000 0.0000 0.0000  4 Mg 3.38, 4 Er 3.38
Sm1 0.5000 0.5000 0.5000  4 Mg 3.38, 4 Er 3.38
Er1 0.2500 0.2500 0.2500  4 Tb 3.38, 4 Sm 3.38
Mg1 0.7500 0.7500 0.7500  4 Sm 3.38, 4 Tb 3.38

So which one wins? Going from most stable to least: *A*, *B*.

*A*
Material: B5C7
Method: DFT, PBE
State: relaxed

Cell lengths 2.6186, 2.6186, 14.7546 Å; angles 90.00, 90.00, 120.00 degrees
Last column: nearest neighbours and their distance in Å.
Fractional positions:
B1 0.0000 0.0000 0.0000  3 C 1.53
B2 0.0000 0.0000 0.2403  3 C 1.53
B3 0.0000 0.0000 0.6618  1 C 1.52
B4 0.3333 0.6667 0.7317  1 C 1.59
B5 0.6667 0.3333 0.5127  4 C 1.63-1.66
C1 0.0000 0.0000 0.5587  4 B 1.52-1.66
C2 0.3333 0.6667 0.2544  3 B 1.53, 1 C 1.69
C3 0.3333 0.6667 0.3691  4 C 1.59-1.69
C4 0.3333 0.6667 0.8392  1 B 1.59, 3 C 1.60
C5 0.6667 0.3333 0.4024  3 C 1.59, 1 B 1.63
C6 0.6667 0.3333 0.8738  4 C 1.60-1.65
C7 0.6667 0.3333 0.9858  3 B 1.53, 1 C 1.65

*B*
Material: B5C7
Method: DFT, PBE
State: relaxed

Cell lengths 2.5910, 2.5910, 13.4763 Å; angles 90.00, 90.00, 120.00 degrees
Last column: nearest neighbours and their distance in Å.
Fractional positions:
B1 0.0000 0.0000 0.0000  1 C 1.58
B2 0.0000 0.0000 0.4829  4 C 1.63-1.66
B3 0.3333 0.6667 0.2752  4 C 1.61-1.66
B4 0.3333 0.6667 0.7635  4 C 1.61-1.70
B5 0.6667 0.3333 0.9214  1 C 1.53
C1 0.0000 0.0000 0.1174  1 B 1.58, 3 C 1.58
C2 0.0000 0.0000 0.6061  3 C 1.56, 1 B 1.66
C3 0.3333 0.6667 0.1559  3 C 1.58, 1 B 1.61
C4 0.3333 0.6667 0.6377  3 C 1.56, 1 B 1.70
C5 0.6667 0.3333 0.3287  1 C 1.42
C6 0.6667 0.3333 0.4342  1 C 1.42
C7 0.6667 0.3333 0.8078  4 B 1.53-1.61

So which one wins? Going from most stable to least: *B*, *A*.

*A*
Material: IrSe2Br
Method: DFT, PBE
State: relaxed

Cell lengths 6.0505, 6.1340, 6.7215 Å; angles 112.11, 116.33, 95.10 degrees
Last column: nearest neighbours and their distance in Å.
Fractional positions:
Ir1 0.0000 0.0000 0.0000  4 Se 2.42-2.54, 2 Br 2.55-2.65
Ir2 0.3608 0.7001 0.3618  4 Se 2.47-2.54, 2 Br 2.51-2.54
Se1 0.1758 0.6578 0.9230  2 Ir 2.42-2.54
Se2 0.2504 0.0968 0.4407  2 Ir 2.44-2.51, 1 Se 2.47
Se3 0.4526 0.3008 0.2815  1 Se 2.47, 2 Ir 2.47-2.52
Se4 0.5151 0.8515 0.8198  2 Ir 2.52-2.54, 1 Se 2.75
Br1 0.8233 0.9387 0.5540  2 Ir 2.51-2.55
Br2 0.9002 0.4260 0.1456  2 Ir 2.54-2.65

*B*
Material: IrSe2Br
Method: DFT, PBE
State: relaxed

Cell lengths 6.2360, 6.2360, 5.7252 Å; angles 91.71, 91.71, 64.43 degrees
Last column: nearest neighbours and their distance in Å.
Fractional positions:
Ir1 0.2477 0.7523 0.0000  4 Se 2.42-2.57, 2 Br 2.56-2.60
Ir2 0.7523 0.2477 0.0000  4 Se 2.42-2.57, 2 Br 2.56-2.60
Se1 0.1324 0.1324 0.1992  2 Ir 2.42
Se2 0.6564 0.6564 0.8566  1 Se 2.49, 2 Ir 2.51
Se3 0.8352 0.8352 0.1535  1 Se 2.49, 2 Ir 2.57
Se4 0.9852 0.9852 0.6810  2 Ir 2.46
Br1 0.3372 0.3372 0.8167  2 Ir 2.60
Br2 0.4915 0.4915 0.3380  2 Ir 2.56

So which one wins? Going from most stable to least: *B*, *A*.

*A*
Material: HIrOs
Method: DFT, PBE
State: relaxed

Cell lengths 4.8875, 5.4125, 4.8987 Å; angles 90.00, 90.00, 90.00 degrees
Last column: nearest neighbours and their distance in Å.
Fractional positions:
H1 0.2003 0.2500 0.2018  2 Ir 1.84-1.85, 2 Os 1.94
H2 0.2997 0.7500 0.7018  2 Ir 1.84-1.85, 2 Os 1.94
H3 0.7003 0.2500 0.2982  2 Ir 1.84-1.85, 2 Os 1.94
H4 0.7997 0.7500 0.7982  2 Ir 1.84-1.85, 2 Os 1.94
Ir1 0.0023 0.2500 0.5225  2 H 1.84-1.85
Ir2 0.4977 0.7500 0.0225  2 H 1.84-1.85
Ir3 0.5023 0.2500 0.9775  2 H 1.84-1.85
Ir4 0.9977 0.7500 0.4775  2 H 1.84-1.85
Os1 0.0000 0.0000 0.0000  2 H 1.94
Os2 0.0000 0.5000 0.0000  2 H 1.94
Os3 0.5000 0.0000 0.5000  2 H 1.94
Os4 0.5000 0.5000 0.5000  2 H 1.94

*B*
Material: HIrOs
Method: DFT, PBE
State: relaxed

Cell lengths 2.7745, 4.9042, 5.1874 Å; angles 85.52, 74.63, 73.77 degrees
Last column: nearest neighbours and their distance in Å.
Fractional positions:
H1 0.0000 0.0000 0.0000  2 Ir 1.77-1.84, 1 Os 1.85
H2 0.3488 0.2955 0.1910  2 Os 1.93-1.99, 3 Ir 2.01-2.06, 1 H 2.04
Ir1 0.1235 0.7305 0.2398  1 H 1.77
Ir2 0.9672 0.3724 0.9027  3 H 1.84-2.06
Os1 0.3572 0.8270 0.6737  1 H 1.85
Os2 0.7473 0.2569 0.4647  2 H 1.93-1.99

So which one wins? Going from most stable to least: *B*, *A*.

*A*
Material: TaReTc
Method: DFT, PBE
State: relaxed

Cell lengths 4.3000, 4.3000, 4.3000 Å; angles 60.00, 60.00, 60.00 degrees
Last column: nearest neighbours and their distance in Å.
Fractional positions:
Ta1 0.0000 0.0000 0.0000  4 Re 2.63
Re1 0.7500 0.7500 0.7500  4 Ta 2.63, 4 Tc 2.63
Tc1 0.5000 0.5000 0.5000  4 Re 2.63

*B*
Material: TaReTc
Method: DFT, PBE
State: relaxed

Cell lengths 6.9899, 6.7966, 2.7706 Å; angles 82.35, 74.51, 23.13 degrees
Last column: nearest neighbours and their distance in Å.
Fractional positions:
Ta1 0.0000 0.0000 0.0000  2 Tc 2.73, 2 Re 2.74, 4 Ta 2.77
Re1 0.6690 0.6690 0.3310  2 Tc 2.67, 2 Ta 2.74, 4 Re 2.77
Tc1 0.3320 0.3320 0.6680  2 Re 2.67, 2 Ta 2.73, 4 Tc 2.77

So which one wins? Going from most stable to least: *B*, *A*.

*A*
Material: ZrTi2Co2
Method: DFT, PBE
State: relaxed

Cell lengths 5.6023, 5.6023, 5.6023 Å; angles 137.47, 137.47, 61.72 degrees
Last column: nearest neighbours and their distance in Å.
Fractional positions:
Zr1 0.0000 0.0000 0.0000  8 Co 3.08, 8 Ti 3.15
Ti1 0.2500 0.7500 0.5000  4 Co 2.42
Ti2 0.7500 0.2500 0.5000  4 Co 2.42
Co1 0.3857 0.3857 0.0000  1 Co 2.20, 4 Ti 2.42
Co2 0.6143 0.6143 0.0000  1 Co 2.20, 4 Ti 2.42

*B*
Material: ZrTi2Co2
Method: DFT, PBE
State: relaxed

Cell lengths 7.3702, 7.3702, 2.7479 Å; angles 90.00, 90.00, 90.00 degrees
Last column: nearest neighbours and their distance in Å.
Fractional positions:
Zr1 0.0000 0.0000 0.0000  2 Zr 2.75, 4 Ti 2.83
Zr2 0.5000 0.5000 0.0000  2 Zr 2.75, 4 Ti 2.83
Ti1 0.1445 0.3555 0.0000  6 Co 2.56, 2 Ti 2.75, 2 Zr 2.83
Ti2 0.3555 0.8555 0.0000  6 Co 2.56, 2 Ti 2.75, 2 Zr 2.83
Ti3 0.6445 0.1445 0.0000  6 Co 2.56, 2 Ti 2.75, 2 Zr 2.83
Ti4 0.8555 0.6445 0.0000  6 Co 2.56, 2 Ti 2.75, 2 Zr 2.83
Co1 0.1478 0.6478 0.5000  6 Ti 2.56, 2 Co 2.75
Co2 0.3522 0.1478 0.5000  6 Ti 2.56, 2 Co 2.75
Co3 0.6478 0.8522 0.5000  6 Ti 2.56, 2 Co 2.75
Co4 0.8522 0.3522 0.5000  6 Ti 2.56, 2 Co 2.75

So which one wins? Going from most stable to least: *A*, *B*.